The following is a PBE calculation of SmDy14Hf after structural relaxation, from the Alexandria database.

Its formation energy is 0.05 eV per atom.

The space group is P4/mmm (No. 123) and the conventional cell measures 7.040, 7.040 and 9.923 Å, with angles of 90.00, 90.00 and 90.00 degrees. The inequivalent atoms are Sm at (0.000, 0.000, 0.000), Dy at (0.000, 0.000, 0.500), Dy at (0.000, 0.500, 0.000), Dy at (0.000, 0.500, 0.500), Dy at (0.256, 0.256, 0.245), Dy at (0.500, 0.500, 0.500) and Hf at (0.500, 0.500, 0.000).

=====

The following is a PBE calculation of SmDyHf after structural relaxation, from the Alexandria database.

Its formation energy is 0.14 eV per atom.

The space group is Pmmn (No. 59, origin choice 2) and the conventional cell measures 3.409, 4.696 and 10.605 Å, with angles of 90.00, 90.00 and 90.00 degrees. The inequivalent atoms are Sm at (0.250, 0.250, 0.094), Dy at (0.250, 0.250, 0.726) and Hf at (0.250, 0.250, 0.433).

=====

The following is a PBE calculation of SmDy2Hf after structural relaxation, from the Alexandria database.

Its formation energy is 0.30 eV per atom.

The space group is Fm-3m (No. 225) and the conventional cell measures 7.766, 7.766 and 7.766 Å, with angles of 90.00, 90.00 and 90.00 degrees. The inequivalent atoms are Sm at (0.000, 0.000, 0.000), Dy at (0.250, 0.250, 0.250) and Hf at (0.000, 0.000, 0.500).

=====

The following is a PBE calculation of SmDyHf after structural relaxation, from the Alexandria database.

Its formation energy is 0.13 eV per atom.

The space group is I4mm (No. 107) and the conventional cell measures 3.367, 3.367 and 15.081 Å, with angles of 90.00, 90.00 and 90.00 degrees. The inequivalent atoms are Sm at (0.000, 0.000, 0.000), Dy at (0.000, 0.000, 0.691) and Hf at (0.000, 0.000, 0.342).